1.
{
  "formula": "TaAs2Pb",
  "functional": "SCAN",
  "state": "single point on PBEsol structure",
  "lattice": [[3.3888, 0.0000, 0.0000], [0.0000, 3.6152, 0.0000], [-1.6944, -1.8076, 7.1472]],
  "species": ["As", "As", "Pb", "Ta"],
  "frac_coords": [[0.7265, 0.2265, 0.4530], [0.9280, 0.9280, 0.8560], [0.5511, 0.5511, 0.1022], [0.2944, 0.7944, 0.5888]],
  "formation_energy_mev_per_atom": -2
}

***

2.
{
  "formula": "TaAs2Pb",
  "functional": "SCAN",
  "state": "single point on PBEsol structure",
  "lattice": [[-0.3336, -2.7641, -1.7894], [-0.6579, -1.7063, 2.7584], [-7.1138, 1.3995, -0.8311]],
  "species": ["As", "Ta", "Pb", "As"],
  "frac_coords": [[0.9998, 0.0000, 0.3087], [0.5000, 0.5000, 0.5000], [0.5000, 0.5000, 0.0000], [0.0002, 0.0000, 0.6913]],
  "formation_energy_mev_per_atom": -85
}

***

3.
{
  "formula": "TaAs2Pb",
  "functional": "SCAN",
  "state": "single point on PBEsol structure",
  "lattice": [[-3.8705, 4.7374, -1.2174], [-4.7726, -3.3178, 2.2627], [5.3548, 1.5435, 4.9609]],
  "species": ["As", "Ta", "Pb", "As", "Pb", "Ta", "As", "As"],
  "frac_coords": [[0.4376, 0.8750, 0.2500], [0.5000, 0.5000, 0.0000], [0.0000, 0.0000, 0.0000], [0.8124, 0.3750, 0.2500], [0.2500, 0.7500, 0.5000], [0.7500, 0.2500, 0.5000], [0.6250, 0.5624, 0.7500], [0.1250, 0.1876, 0.7500]],
  "formation_energy_mev_per_atom": 193
}

***

4.
{
  "formula": "TcAs2Pb",
  "functional": "SCAN",
  "state": "single point on PBEsol structure",
  "lattice": [[-3.2104, -0.6699, -0.4933], [0.8261, -4.1141, 0.2110], [0.6914, 0.4510, 6.0851]],
  "species": ["As", "Tc", "Pb", "As"],
  "frac_coords": [[0.7415, 0.5000, 0.1070], [0.0848, 0.5000, 0.7952], [0.4680, 0.0000, 0.5625], [0.2057, 0.0000, 0.0352]],
  "formation_energy_mev_per_atom": 220
}

***

no.,volume (Å³/f.u.),total moment (μB per cell),DOS(E_F) (states/eV/f.u.)
1,88,0.0,1.91
2,80,0.0,2.60
3,117,1.7,1.76
4,82,0.0,2.75